Entry 1:
# La12Co5Pd3 | Alexandria | PBE | optimized geometry
data_La12Co5Pd3
_chemical_formula_sum 'La48 Co20 Pd12'
_space_group_name_H-M_alt 'P 1'
_space_group_IT_number 1
_space_group_name_Hall 'P 1'
_cell_length_a 14.495
_cell_length_b 14.495
_cell_length_c 14.495
_cell_angle_alpha 109.47
_cell_angle_beta 109.47
_cell_angle_gamma 109.47
loop_
_atom_site_label
_atom_site_type_symbol
_atom_site_fract_x
_atom_site_fract_y
_atom_site_fract_z
La1 La 0.092 0.178 0.467
Pd1 Pd 0.875 0.750 0.125
La2 La 0.125 0.414 0.092
Co1 Co 0.750 0.625 0.375
Pd2 Pd 0.750 0.375 0.125
La3 La 0.092 0.914 0.125
Co2 Co 0.500 0.000 0.500
Co3 Co 0.500 0.500 0.000
Co4 Co 0.375 0.250 0.125
La4 La 0.625 0.592 0.914
Pd3 Pd 0.625 0.250 0.375
La5 La 0.625 0.033 0.211
Pd4 Pd 0.375 0.625 0.250
Pd5 Pd 0.250 0.125 0.375
La6 La 0.914 0.092 0.625
La7 La 0.033 0.408 0.822
La8 La 0.322 0.789 0.414
Co5 Co 0.250 0.875 0.125
La9 La 0.178 0.092 0.967
La10 La 0.822 0.914 0.289
La11 La 0.592 0.625 0.414
La12 La 0.289 0.414 0.822
La13 La 0.533 0.211 0.125
La14 La 0.711 0.125 0.033
La15 La 0.178 0.086 0.711
Co6 Co 0.125 0.750 0.375
La16 La 0.789 0.322 0.914
Co7 Co 0.875 0.625 0.750
Co8 Co 0.000 0.000 0.500
La17 La 0.414 0.289 0.322
La18 La 0.211 0.533 0.625
La19 La 0.211 0.678 0.086
La20 La 0.592 0.967 0.678
La21 La 0.375 0.408 0.086
La22 La 0.408 0.033 0.322
La23 La 0.875 0.289 0.467
Pd6 Pd 0.250 0.625 0.875
La24 La 0.822 0.908 0.033
La25 La 0.086 0.908 0.375
Co9 Co 0.125 0.375 0.250
La26 La 0.967 0.375 0.289
La27 La 0.033 0.625 0.711
Co10 Co 0.250 0.375 0.625
Co11 Co 0.000 0.000 0.000
La28 La 0.914 0.822 0.789
La29 La 0.875 0.586 0.908
Co12 Co 0.625 0.875 0.250
La30 La 0.586 0.875 0.408
La31 La 0.533 0.322 0.908
Co13 Co 0.000 0.500 0.000
La32 La 0.908 0.086 0.875
Co14 Co 0.625 0.750 0.875
Co15 Co 0.875 0.250 0.625
Co16 Co 0.375 0.125 0.750
La33 La 0.678 0.467 0.592
La34 La 0.789 0.467 0.375
Co17 Co 0.500 0.000 0.000
La35 La 0.289 0.875 0.967
La36 La 0.678 0.211 0.586
La37 La 0.086 0.178 0.211
La38 La 0.322 0.533 0.408
La39 La 0.586 0.711 0.678
Pd7 Pd 0.125 0.250 0.875
La40 La 0.375 0.967 0.789
Co18 Co 0.500 0.500 0.500
Pd8 Pd 0.750 0.875 0.625
La41 La 0.908 0.822 0.533
La42 La 0.467 0.789 0.875
Pd9 Pd 0.875 0.125 0.250
Co19 Co 0.750 0.125 0.875
Pd10 Pd 0.625 0.375 0.750
La43 La 0.408 0.375 0.586
Co20 Co 0.000 0.500 0.500
Pd11 Pd 0.375 0.750 0.625
La44 La 0.125 0.711 0.533
Pd12 Pd 0.125 0.875 0.750
La45 La 0.414 0.125 0.592
La46 La 0.967 0.592 0.178
La47 La 0.711 0.586 0.178
La48 La 0.467 0.678 0.092
# - Formation energy: -3.43 kcal/mol of atoms
# - Space-group type: Ia-3d (230)
# - Total moment: 0.000 μB per atom
# - Crystal system: cubic
# - Calculated total energy: -452.86 eV per cell
# - Fermi-level density of states: 82.07 states/eV/cell

---

Entry 2:
# LaCo2Pd | Alexandria | PBE | optimized geometry
data_LaCo2Pd
_chemical_formula_sum 'La1 Co2 Pd1'
_space_group_name_H-M_alt 'P 1'
_space_group_IT_number 1
_space_group_name_Hall 'P 1'
_cell_length_a 4.524
_cell_length_b 4.524
_cell_length_c 4.524
_cell_angle_alpha 60.00
_cell_angle_beta 60.00
_cell_angle_gamma 60.00
loop_
_atom_site_label
_atom_site_type_symbol
_atom_site_fract_x
_atom_site_fract_y
_atom_site_fract_z
La1 La 0.500 0.500 0.500
Co1 Co 0.250 0.250 0.250
Pd1 Pd 0.000 0.000 0.000
Co2 Co 0.750 0.750 0.750
# - Formation energy: 3.53 kcal/mol of atoms
# - Space-group type: Fm-3m (225)
# - Total moment: 0.248 μB per atom
# - Crystal system: cubic
# - Calculated total energy: -23.72 eV per cell
# - Fermi-level density of states: 8.84 states/eV/cell

---

Entry 3:
# La4CoPd3 | Alexandria | PBE | optimized geometry
data_La4CoPd3
_chemical_formula_sum 'La4 Co1 Pd3'
_space_group_name_H-M_alt 'P 1'
_space_group_IT_number 1
_space_group_name_Hall 'P 1'
_cell_length_a 3.953
_cell_length_b 4.614
_cell_length_c 10.867
_cell_angle_alpha 90.00
_cell_angle_beta 90.00
_cell_angle_gamma 90.00
loop_
_atom_site_label
_atom_site_type_symbol
_atom_site_fract_x
_atom_site_fract_y
_atom_site_fract_z
Co1 Co 0.500 0.500 0.095
Pd1 Pd 0.000 0.500 0.586
La1 La 0.500 0.500 0.344
Pd2 Pd 0.500 0.000 0.917
Pd3 Pd 0.000 0.000 0.414
La2 La 0.000 0.000 0.136
La3 La 0.500 0.000 0.631
La4 La 0.000 0.500 0.877
# - Formation energy: -14.44 kcal/mol of atoms
# - Space-group type: Pmm2 (25)
# - Total moment: 0.000 μB per atom
# - Crystal system: orthorhombic
# - Calculated total energy: -47.40 eV per cell
# - Fermi-level density of states: 5.98 states/eV/cell

---

Entry 4:
# LaCo2Pd2 | Alexandria | PBE | optimized geometry
data_LaCo2Pd2
_chemical_formula_sum 'La1 Co2 Pd2'
_space_group_name_H-M_alt 'P 1'
_space_group_IT_number 1
_space_group_name_Hall 'P 1'
_cell_length_a 4.114
_cell_length_b 4.114
_cell_length_c 5.994
_cell_angle_alpha 69.93
_cell_angle_beta 69.93
_cell_angle_gamma 90.00
loop_
_atom_site_label
_atom_site_type_symbol
_atom_site_fract_x
_atom_site_fract_y
_atom_site_fract_z
La1 La 0.000 0.000 0.000
Co1 Co 0.603 0.603 0.794
Pd1 Pd 0.750 0.250 0.500
Co2 Co 0.397 0.397 0.206
Pd2 Pd 0.250 0.750 0.500
# - Formation energy: -5.10 kcal/mol of atoms
# - Space-group type: I4/mmm (139)
# - Total moment: 0.639 μB per atom
# - Crystal system: tetragonal
# - Calculated total energy: -30.63 eV per cell
# - Fermi-level density of states: 4.13 states/eV/cell

---

Entry 5:
# LaCo3Pd | Alexandria | PBE | optimized geometry
data_LaCo3Pd
_chemical_formula_sum 'La1 Co3 Pd1'
_space_group_name_H-M_alt 'P 1'
_space_group_IT_number 1
_space_group_name_Hall 'P 1'
_cell_length_a 4.483
_cell_length_b 4.483
_cell_length_c 4.483
_cell_angle_alpha 90.00
_cell_angle_beta 90.00
_cell_angle_gamma 90.00
loop_
_atom_site_label
_atom_site_type_symbol
_atom_site_fract_x
_atom_site_fract_y
_atom_site_fract_z
Co1 Co 0.500 0.000 0.000
Co2 Co 0.000 0.000 0.500
La1 La 0.000 0.000 0.000
Co3 Co 0.000 0.500 0.000
Pd1 Pd 0.500 0.500 0.500
# - Formation energy: 34.88 kcal/mol of atoms
# - Space-group type: Pm-3m (221)
# - Total moment: 0.260 μB per atom
# - Crystal system: cubic
# - Calculated total energy: -23.88 eV per cell
# - Fermi-level density of states: 6.97 states/eV/cell

---

Entry 6:
# LaCo2Pd | Alexandria | PBE | optimized geometry
data_LaCo2Pd
_chemical_formula_sum 'La2 Co4 Pd2'
_space_group_name_H-M_alt 'P 1'
_space_group_IT_number 1
_space_group_name_Hall 'P 1'
_cell_length_a 4.259
_cell_length_b 4.259
_cell_length_c 9.475
_cell_angle_alpha 77.01
_cell_angle_beta 77.01
_cell_angle_gamma 90.00
loop_
_atom_site_label
_atom_site_type_symbol
_atom_site_fract_x
_atom_site_fract_y
_atom_site_fract_z
Co1 Co 0.375 0.537 0.750
La1 La 0.750 0.250 0.500
Pd1 Pd 0.500 0.500 0.000
Co2 Co 0.875 0.713 0.750
La2 La 0.000 0.000 0.000
Pd2 Pd 0.250 0.750 0.500
Co3 Co 0.463 0.125 0.250
Co4 Co 0.287 0.625 0.250
# - Formation energy: 2.12 kcal/mol of atoms
# - Space-group type: I-42d (122)
# - Total moment: 0.681 μB per atom
# - Crystal system: tetragonal
# - Calculated total energy: -47.93 eV per cell
# - Fermi-level density of states: 17.62 states/eV/cell

---

Entry 7:
# LaPmCoPd | Alexandria | PBE | optimized geometry
data_LaPmCoPd
_chemical_formula_sum 'La1 Pm1 Co1 Pd1'
_space_group_name_H-M_alt 'P 1'
_space_group_IT_number 1
_space_group_name_Hall 'P 1'
_cell_length_a 5.033
_cell_length_b 5.033
_cell_length_c 5.033
_cell_angle_alpha 60.00
_cell_angle_beta 60.00
_cell_angle_gamma 60.00
loop_
_atom_site_label
_atom_site_type_symbol
_atom_site_fract_x
_atom_site_fract_y
_atom_site_fract_z
La1 La 0.250 0.250 0.250
Pd1 Pd 0.000 0.000 0.000
Co1 Co 0.500 0.500 0.500
Pm1 Pm 0.750 0.750 0.750
# - Formation energy: -7.87 kcal/mol of atoms
# - Space-group type: F-43m (216)
# - Total moment: 0.062 μB per atom
# - Crystal system: cubic
# - Calculated total energy: -23.34 eV per cell
# - Fermi-level density of states: 2.82 states/eV/cell

---

Entry 8:
# La2Pm2CoPd2 | Alexandria | PBE | optimized geometry
data_La2Pm2CoPd2
_chemical_formula_sum 'La2 Pm2 Co1 Pd2'
_space_group_name_H-M_alt 'P 1'
_space_group_IT_number 1
_space_group_name_Hall 'P 1'
_cell_length_a 4.050
_cell_length_b 7.314
_cell_length_c 7.434
_cell_angle_alpha 64.20
_cell_angle_beta 74.19
_cell_angle_gamma 90.01
loop_
_atom_site_label
_atom_site_type_symbol
_atom_site_fract_x
_atom_site_fract_y
_atom_site_fract_z
Co1 Co 0.000 0.000 0.000
Pd1 Pd 0.880 0.431 0.240
La1 La 0.790 0.762 0.420
Pm1 Pm 0.520 0.757 0.961
Pd2 Pd 0.120 0.569 0.760
La2 La 0.210 0.238 0.580
Pm2 Pm 0.480 0.243 0.039
# - Formation energy: -10.42 kcal/mol of atoms
# - Space-group type: C2/m (12)
# - Total moment: 0.000 μB per atom
# - Crystal system: monoclinic
# - Calculated total energy: -40.01 eV per cell
# - Fermi-level density of states: 4.85 states/eV/cell

---

Entry 9:
# La2Pr2CoPd2 | Alexandria | PBE | optimized geometry
data_La2Pr2CoPd2
_chemical_formula_sum 'La2 Pr2 Co1 Pd2'
_space_group_name_H-M_alt 'P 1'
_space_group_IT_number 1
_space_group_name_Hall 'P 1'
_cell_length_a 4.073
_cell_length_b 7.480
_cell_length_c 7.876
_cell_angle_alpha 58.06
_cell_angle_beta 74.97
_cell_angle_gamma 90.00
loop_
_atom_site_label
_atom_site_type_symbol
_atom_site_fract_x
_atom_site_fract_y
_atom_site_fract_z
Pr1 Pr 0.477 0.714 0.046
Pd1 Pd 0.879 0.323 0.241
Pr2 Pr 0.523 0.286 0.954
La1 La 0.791 0.825 0.419
Pd2 Pd 0.121 0.677 0.759
La2 La 0.209 0.175 0.581
Co1 Co 0.000 0.000 0.000
# - Formation energy: -9.86 kcal/mol of atoms
# - Space-group type: C2/m (12)
# - Total moment: 0.000 μB per atom
# - Crystal system: monoclinic
# - Calculated total energy: -39.90 eV per cell
# - Fermi-level density of states: 4.86 states/eV/cell

---

Entry 10:
# La6CoPdPt2 | Alexandria | PBE | optimized geometry
data_La6CoPdPt2
_chemical_formula_sum 'La6 Co1 Pd1 Pt2'
_space_group_name_H-M_alt 'P 1'
_space_group_IT_number 1
_space_group_name_Hall 'P 1'
_cell_length_a 7.207
_cell_length_b 7.206
_cell_length_c 7.870
_cell_angle_alpha 62.73
_cell_angle_beta 62.77
_cell_angle_gamma 60.12
loop_
_atom_site_label
_atom_site_type_symbol
_atom_site_fract_x
_atom_site_fract_y
_atom_site_fract_z
La1 La 0.276 0.930 0.244
Pd1 Pd 0.841 0.842 0.475
La2 La 0.931 0.550 0.243
Pt1 Pt 0.494 0.494 0.518
La3 La 0.411 0.754 0.762
La4 La 0.074 0.411 0.761
Pt2 Pt 0.989 0.989 0.033
La5 La 0.550 0.276 0.244
Co1 Co 0.343 0.342 0.974
La6 La 0.753 0.074 0.761
# - Formation energy: -14.71 kcal/mol of atoms
# - Space-group type: P1 (1)
# - Total moment: 0.000 μB per atom
# - Crystal system: triclinic
# - Calculated total energy: -60.32 eV per cell
# - Fermi-level density of states: 8.24 states/eV/cell

---

Entry 11:
# La6CoPd2Pt | Alexandria | PBE | optimized geometry
data_La6CoPd2Pt
_chemical_formula_sum 'La12 Co2 Pd4 Pt2'
_space_group_name_H-M_alt 'P 1'
_space_group_IT_number 1
_space_group_name_Hall 'P 1'
_cell_length_a 7.012
_cell_length_b 7.779
_cell_length_c 10.777
_cell_angle_alpha 90.00
_cell_angle_beta 90.57
_cell_angle_gamma 90.00
loop_
_atom_site_label
_atom_site_type_symbol
_atom_site_fract_x
_atom_site_fract_y
_atom_site_fract_z
Co1 Co 0.500 0.000 0.500
La1 La 0.665 0.313 0.575
La2 La 0.165 0.187 0.075
La3 La 0.348 0.952 0.744
Pt1 Pt 0.000 0.500 0.500
La4 La 0.848 0.548 0.244
La5 La 0.684 0.331 0.929
La6 La 0.316 0.669 0.071
Pd1 Pd 0.551 0.612 0.746
La7 La 0.816 0.831 0.571
La8 La 0.652 0.048 0.256
La9 La 0.152 0.452 0.756
Pd2 Pd 0.051 0.888 0.246
Pt2 Pt 0.500 0.000 0.000
La10 La 0.835 0.813 0.925
La11 La 0.184 0.169 0.429
La12 La 0.335 0.687 0.425
Pd3 Pd 0.449 0.388 0.254
Co2 Co 0.000 0.500 0.000
Pd4 Pd 0.949 0.112 0.754
# - Formation energy: -13.65 kcal/mol of atoms
# - Space-group type: P2_1/c (14)
# - Total moment: 0.000 μB per atom
# - Crystal system: monoclinic
# - Calculated total energy: -118.03 eV per cell
# - Fermi-level density of states: 16.27 states/eV/cell